First-principles (PBE) data for crystalline LiHoTmCd at its relaxed geometry, as listed in Alexandria.

abc: 7.3760 7.3760 7.3760
angles: 90.00 90.00 90.00
Space group F-43m (No. 216)
One atom of each set of equivalent atoms:
Li  0.0000  0.0000  0.0000 [4 per cell]
Ho  0.2500  0.2500  0.2500 [4 per cell]
Tm  0.2500  0.2500  0.7500 [4 per cell]
Cd  0.0000  0.0000  0.5000 [4 per cell]

## Properties
* formation enthalpy at 0 K: -0.11 eV/atom
* density of states at the Fermi level: 5.19 states/eV/f.u.
* magnetic moment: 0.000 μB/cell
* energy: -3.0792 eV/atom

***

First-principles (PBE) data for crystalline ZrAsAu at its relaxed geometry, as listed in Alexandria.

abc: 3.8245 3.8245 34.8654
angles: 90.00 90.00 120.00
Space group R-3m (No. 166, hexagonal axes)
One atom of each set of equivalent atoms:
Zr  0.0000  0.0000  0.0803 [6 per cell]
As  0.0000  0.0000  0.2117 [6 per cell]
Au  0.0000  0.0000  0.3591 [6 per cell]

## Properties
* formation enthalpy at 0 K: -0.30 eV/atom
* density of states at the Fermi level: 1.74 states/eV/f.u.
* magnetic moment: 0.000 μB/cell
* energy: -5.7869 eV/atom

***

First-principles (PBE) data for crystalline Ce5PuGe2Pb at its relaxed geometry, as listed in Alexandria.

abc: 7.7304 7.7304 15.7744
angles: 90.00 90.00 90.00
Space group I4/mcm (No. 140)
One atom of each set of equivalent atoms:
Ce  0.0000  0.0000  0.0000 [4 per cell]
Ce  0.1769  0.3231  0.1318 [16 per cell]
Pu  0.0000  0.5000  0.2500 [4 per cell]
Ge  0.1237  0.3763  0.5000 [8 per cell]
Pb  0.0000  0.0000  0.2500 [4 per cell]

## Properties
* formation enthalpy at 0 K: -0.40 eV/atom
* density of states at the Fermi level: 21.29 states/eV/f.u.
* magnetic moment: 39.086 μB/cell
* energy: -6.7321 eV/atom

***

First-principles (PBE) data for crystalline Na5ZnSeO2 at its relaxed geometry, as listed in Alexandria.

abc: 4.6701 4.6701 8.5360
angles: 90.00 90.00 90.00
Space group P4/mmm (No. 123)
One atom of each set of equivalent atoms:
Na  0.0000  0.0000  0.0000 [1 per cell]
Na  0.0000  0.5000  0.2417 [4 per cell]
Zn  0.0000  0.0000  0.5000 [1 per cell]
Se  0.5000  0.5000  0.0000 [1 per cell]
O  0.0000  0.0000  0.2834 [2 per cell]

## Properties
* E_form (uncorrected): -1099 meV per atom
* density of states at the Fermi level: 2.23 states/eV/f.u.
* magnetic moment: 0.000 μB/cell
* energy: -3.4621 eV/atom

***

First-principles (PBE) data for crystalline Tb2HAu at its relaxed geometry, as listed in Alexandria.

abc: 3.9130 3.9130 19.5528
angles: 90.00 90.00 120.00
Space group R-3m (No. 166, hexagonal axes)
One atom of each set of equivalent atoms:
Tb  0.0000  0.0000  0.2379 [6 per cell]
H  0.0000  0.0000  0.5000 [3 per cell]
Au  0.0000  0.0000  0.0000 [3 per cell]

## Properties
* E above lowest polymorph: 219 meV/atom
* density of states at the Fermi level: 3.46 states/eV/f.u.
* magnetic moment: 0.043 μB/cell
* energy: -4.4213 eV/atom

***

First-principles (PBE) data for crystalline K2ScRhO4 at its relaxed geometry, as listed in Alexandria.

abc: 5.4806 3.2486 6.3643
angles: 90.00 107.58 90.00
Space group P2/m (No. 10)
One atom of each set of equivalent atoms:
K  0.0000  0.0000  0.0000 [1 per cell]
K  0.5000  0.5000  0.0000 [1 per cell]
Sc  0.0000  0.5000  0.5000 [1 per cell]
Rh  0.5000  0.0000  0.5000 [1 per cell]
O  0.2249  0.0000  0.6826 [2 per cell]
O  0.2793  0.5000  0.3235 [2 per cell]

## Properties
* E_form (uncorrected): -1872 meV per atom
* magnetic moment: 0.000 μB/cell
* energy: -6.3362 eV/atom

***

First-principles (PBE) data for crystalline CoW2Au at its relaxed geometry, as listed in Alexandria.

abc: 2.7062 4.1995 5.4709
angles: 90.00 101.30 90.00
Space group Pm (No. 6)
One atom of each set of equivalent atoms:
Co  0.0000  0.0000  0.0000 [1 per cell]
W  0.2809  0.0000  0.4508 [1 per cell]
W  0.5725  0.5000  0.1776 [1 per cell]
Au  0.8806  0.5000  0.7121 [1 per cell]

## Properties
* E above lowest polymorph: 59 meV/atom
* formation enthalpy at 0 K: 0.30 eV/atom
* density of states at the Fermi level: 3.09 states/eV/f.u.
* magnetic moment: 0.007 μB/cell
* energy: -8.7698 eV/atom

***

First-principles (PBE) data for crystalline TiNiPdAu at its relaxed geometry, as listed in Alexandria.

abc: 3.8994 3.8994 7.7913
angles: 90.00 90.00 90.00
Space group I-4m2 (No. 119)
One atom of each set of equivalent atoms:
Ti  0.0000  0.0000  0.0000 [2 per cell]
Ni  0.0000  0.5000  0.7500 [2 per cell]
Pd  0.0000  0.5000  0.2500 [2 per cell]
Au  0.0000  0.0000  0.5000 [2 per cell]

## Properties
* E above lowest polymorph: 0 meV/atom
* formation enthalpy at 0 K: -0.44 eV/atom
* density of states at the Fermi level: 1.39 states/eV/f.u.
* magnetic moment: 0.000 μB/cell
* energy: -5.9814 eV/atom

***

First-principles (PBE) data for crystalline Ca2PuO5 at its relaxed geometry, as listed in Alexandria.

abc: 11.9929 5.6248 7.9685
angles: 90.00 114.15 90.00
Space group C2/c (No. 15)
One atom of each set of equivalent atoms:
Ca  0.1380  0.0012  0.2563 [8 per cell]
Pu  0.0000  0.5000  0.0000 [4 per cell]
O  0.0000  0.3183  0.2500 [4 per cell]
O  0.0721  0.1917  0.9606 [8 per cell]
O  0.1667  0.3601  0.6422 [8 per cell]

## Properties
* E_form (uncorrected): -2879 meV per atom
* density of states at the Fermi level: 5.40 states/eV/f.u.
* magnetic moment: 8.000 μB/cell
* energy: -8.2694 eV/atom

***

First-principles (PBE) data for crystalline MoRu2 at its relaxed geometry, as listed in Alexandria.

abc: 5.0950 5.0950 8.0812
angles: 90.00 90.00 120.00
Space group P6_3/mmc (No. 194)
One atom of each set of equivalent atoms:
Mo  0.3333  0.6667  0.0816 [4 per cell]
Ru  0.0000  0.0000  0.0000 [2 per cell]
Ru  0.1749  0.3498  0.7500 [6 per cell]

## Properties
* formation enthalpy at 0 K: 0.23 eV/atom
* density of states at the Fermi level: 3.15 states/eV/f.u.
* magnetic moment: 0.000 μB/cell
* energy: -9.5678 eV/atom

***

First-principles (PBE) data for crystalline Ba2CuPt2 at its relaxed geometry, as listed in Alexandria.

abc: 6.1817 6.1817 7.7377
angles: 90.00 90.00 90.00
Space group I4/mmm (No. 139)
One atom of each set of equivalent atoms:
Ba  0.0000  0.5000  0.2500 [4 per cell]
Cu  0.0000  0.0000  0.0000 [2 per cell]
Pt  0.0000  0.0000  0.3266 [4 per cell]

## Properties
* formation enthalpy at 0 K: -0.40 eV/atom
* density of states at the Fermi level: 1.96 states/eV/f.u.
* magnetic moment: 0.000 μB/cell
* energy: -4.4043 eV/atom

***

First-principles (PBE) data for crystalline NaTl2SbSe4 at its relaxed geometry, as listed in Alexandria.

abc: 8.9293 9.7328 6.5334
angles: 90.00 90.00 90.00
Space group Pmn2_1 (No. 31)
One atom of each set of equivalent atoms:
Na  0.0000  0.1052  0.0000 [2 per cell]
Tl  0.2023  0.3406  0.5115 [4 per cell]
Sb  0.0000  0.8169  0.4218 [2 per cell]
Se  0.0000  0.0669  0.5177 [2 per cell]
Se  0.0000  0.8056  0.0332 [2 per cell]
Se  0.2357  0.6911  0.5271 [4 per cell]

## Properties
* E_form (uncorrected): -424 meV per atom
* magnetic moment: 0.000 μB/cell
* energy: -3.4383 eV/atom

***

First-principles (PBE) data for crystalline Cu2AgMo at its relaxed geometry, as listed in Alexandria.

abc: 2.6254 3.9034 5.6927
angles: 90.00 90.00 90.00
Space group Pmm2 (No. 25)
One atom of each set of equivalent atoms:
Cu  0.0000  0.0000  0.0000 [1 per cell]
Cu  0.5000  0.5000  0.2351 [1 per cell]
Ag  0.5000  0.5000  0.7516 [1 per cell]
Mo  0.0000  0.0000  0.4610 [1 per cell]

## Properties
* E above lowest polymorph: 171 meV/atom
* formation enthalpy at 0 K: 0.37 eV/atom
* density of states at the Fermi level: 2.55 states/eV/f.u.
* magnetic moment: 0.000 μB/cell
* energy: -5.0949 eV/atom

***

First-principles (PBE) data for crystalline Mg2CoBi at its relaxed geometry, as listed in Alexandria.

abc: 4.1871 4.1871 19.7776
angles: 90.00 90.00 90.00
Space group I-42d (No. 122)
One atom of each set of equivalent atoms:
Mg  0.2220  0.2500  0.1250 [8 per cell]
Co  0.0000  0.0000  0.0000 [4 per cell]
Bi  0.0000  0.0000  0.5000 [4 per cell]

## Properties
* formation enthalpy at 0 K: 0.39 eV/atom
* density of states at the Fermi level: 3.14 states/eV/f.u.
* magnetic moment: 4.834 μB/cell
* energy: -3.1508 eV/atom

***

First-principles (PBE) data for crystalline BaTl2Fe at its relaxed geometry, as listed in Alexandria.

abc: 6.7829 6.8030 5.1846
angles: 90.00 90.00 90.00
Space group Cmmm (No. 65)
One atom of each set of equivalent atoms:
Ba  0.0000  0.0000  0.0000 [2 per cell]
Tl  0.2500  0.2500  0.5000 [4 per cell]
Fe  0.0000  0.5000  0.0000 [2 per cell]

## Properties
* formation enthalpy at 0 K: 0.41 eV/atom
* density of states at the Fermi level: 6.47 states/eV/f.u.
* magnetic moment: 5.036 μB/cell
* energy: -3.3717 eV/atom

***

First-principles (PBE) data for crystalline Si2NiAu at its relaxed geometry, as listed in Alexandria.

abc: 6.1613 6.1613 6.1613
angles: 90.00 90.00 90.00
Space group Fm-3m (No. 225)
One atom of each set of equivalent atoms:
Si  0.2500  0.2500  0.2500 [8 per cell]
Ni  0.0000  0.0000  0.0000 [4 per cell]
Au  0.0000  0.0000  0.5000 [4 per cell]

## Properties
* E_form (uncorrected): 237 meV per atom
* density of states at the Fermi level: 2.76 states/eV/f.u.
* magnetic moment: 0.000 μB/cell
* energy: -4.7393 eV/atom

***

First-principles (PBE) data for crystalline NaLi2OsS at its relaxed geometry, as listed in Alexandria.

abc: 4.1826 4.1826 4.5975
angles: 90.00 90.00 90.00
Space group P4/mmm (No. 123)
One atom of each set of equivalent atoms:
Na  0.0000  0.0000  0.0000 [1 per cell]
Li  0.0000  0.5000  0.0000 [2 per cell]
Os  0.5000  0.5000  0.5000 [1 per cell]
S  0.0000  0.0000  0.5000 [1 per cell]

## Properties
* E above lowest polymorph: 581 meV/atom
* E_form (uncorrected): 1091 meV per atom
* density of states at the Fermi level: 2.83 states/eV/f.u.
* magnetic moment: 1.625 μB/cell
* energy: -3.0101 eV/atom

***

First-principles (PBE) data for crystalline ErTm2ThSc4 at its relaxed geometry, as listed in Alexandria.

abc: 4.9005 4.9005 9.1688
angles: 90.00 90.00 90.00
Space group P4/mmm (No. 123)
One atom of each set of equivalent atoms:
Er  0.0000  0.0000  0.0000 [1 per cell]
Tm  0.0000  0.0000  0.5000 [1 per cell]
Tm  0.5000  0.5000  0.0000 [1 per cell]
Th  0.5000  0.5000  0.5000 [1 per cell]
Sc  0.0000  0.5000  0.2518 [4 per cell]

## Properties
* formation enthalpy at 0 K: 0.04 eV/atom
* density of states at the Fermi level: 12.76 states/eV/f.u.
* magnetic moment: 0.000 μB/cell
* energy: -5.7395 eV/atom

***

First-principles (PBE) data for crystalline ScRhC2 at its relaxed geometry, as listed in Alexandria.

abc: 4.7091 4.7091 10.0810
angles: 90.00 90.00 90.00
Space group I-42d (No. 122)
One atom of each set of equivalent atoms:
Sc  0.0000  0.0000  0.0000 [4 per cell]
Rh  0.0000  0.0000  0.5000 [4 per cell]
C  0.1971  0.2500  0.6250 [8 per cell]

## Properties
* formation enthalpy at 0 K: 0.37 eV/atom
* density of states at the Fermi level: 1.94 states/eV/f.u.
* magnetic moment: 0.000 μB/cell
* energy: -7.6581 eV/atom

***

First-principles (PBE) data for crystalline SrReRh2 at its relaxed geometry, as listed in Alexandria.

abc: 6.5981 6.5981 6.5981
angles: 90.00 90.00 90.00
Space group Fm-3m (No. 225)
One atom of each set of equivalent atoms:
Sr  0.0000  0.0000  0.0000 [4 per cell]
Re  0.0000  0.0000  0.5000 [4 per cell]
Rh  0.2500  0.2500  0.2500 [8 per cell]

## Properties
* E above lowest polymorph: 441 meV/atom
* formation enthalpy at 0 K: 0.60 eV/atom
* density of states at the Fermi level: 5.65 states/eV/f.u.
* magnetic moment: 5.034 μB/cell
* energy: -6.6083 eV/atom

***

First-principles (PBE) data for crystalline LiPNF2 at its relaxed geometry, as listed in Alexandria.

abc: 3.4114 3.4114 4.2738
angles: 90.00 90.00 90.00
Space group P4/mmm (No. 123)
One atom of each set of equivalent atoms:
Li  0.0000  0.0000  0.0000 [1 per cell]
P  0.5000  0.5000  0.5000 [1 per cell]
N  0.0000  0.0000  0.5000 [1 per cell]
F  0.0000  0.5000  0.0000 [2 per cell]

## Properties
* E above lowest polymorph: 750 meV/atom
* E_form (uncorrected): -252 meV per atom
* density of states at the Fermi level: 0.22 states/eV/f.u.
* magnetic moment: 0.899 μB/cell
* energy: -4.1304 eV/atom